Entry 1:
The following is a DFT calculation (PBE) of a relaxed SmGa crystal.

a = 4.2739 Å, b = 4.2739 Å, c = 4.2739 Å
α = 60.00°, β = 60.00°, γ = 60.00°
Closest atoms and distances in Å follow each position.
Fractional coordinates of all 2 atoms:
Sm1 0.0000 0.0000 0.0000  6 Ga 3.02
Ga1 0.5000 0.5000 0.5000  6 Sm 3.02

Values from the calculation:
total magnetization	0.30	Bohr magnetons per cell

***

Entry 2:
The following is a DFT calculation (PBE) of a relaxed Ho2ThBe2 crystal.

a = 7.0925 Å, b = 7.0925 Å, c = 4.4317 Å
α = 90.00°, β = 90.00°, γ = 90.00°
Closest atoms and distances in Å follow each position.
Fractional coordinates of all 10 atoms:
Ho1 0.1705 0.3295 0.0000  6 Be 3.00-3.13
Ho2 0.3295 0.8295 0.0000  6 Be 3.00-3.13
Ho3 0.6705 0.1705 0.0000  6 Be 3.00-3.13
Ho4 0.8295 0.6705 0.0000  6 Be 3.00-3.13
Th1 0.0000 0.0000 0.5000  4 Be 2.88
Th2 0.5000 0.5000 0.5000  4 Be 2.88
Be1 0.1087 0.6087 0.5000  1 Be 2.18
Be2 0.3913 0.1087 0.5000  1 Be 2.18
Be3 0.6087 0.8913 0.5000  1 Be 2.18
Be4 0.8913 0.3913 0.5000  1 Be 2.18

Values from the calculation:
total magnetization	0.03	Bohr magnetons per cell

***

Entry 3:
The following is a DFT calculation (PBE) of a relaxed Cu7Ag crystal.

a = 4.5001 Å, b = 4.5001 Å, c = 9.0270 Å
α = 100.33°, β = 100.33°, γ = 34.12°
Closest atoms and distances in Å follow each position.
Fractional coordinates of all 8 atoms:
Cu1 0.0000 0.0000 0.0000  12 Cu 2.52-2.64
Cu2 0.2433 0.2433 0.3626  9 Cu 2.56-2.79, 3 Ag 2.63-2.67
Cu3 0.2509 0.2509 0.8796  12 Cu 2.55-2.64
Cu4 0.4967 0.4967 0.2370  10 Cu 2.52-2.64, 2 Ag 2.71
Cu5 0.5033 0.5033 0.7630  10 Cu 2.52-2.64, 2 Ag 2.71
Cu6 0.7491 0.7491 0.1204  12 Cu 2.55-2.64
Cu7 0.7567 0.7567 0.6374  9 Cu 2.56-2.79, 3 Ag 2.63-2.67
Ag1 0.0000 0.0000 0.5000  10 Cu 2.63-2.71, 2 Ag 2.64

Values from the calculation:
E above lowest polymorph	0.007	eV per atom
formation energy from the elements	50	meV/atom

***

Entry 4:
The following is a DFT calculation (PBE) of a relaxed Rb3GdF6 crystal.

a = 6.6501 Å, b = 6.6501 Å, c = 6.6501 Å
α = 60.00°, β = 60.00°, γ = 60.00°
Closest atoms and distances in Å follow each position.
Fractional coordinates of all 10 atoms:
Rb1 0.0000 0.0000 0.0000  6 F 2.53
Rb2 0.2500 0.2500 0.2500  12 F 3.33
Rb3 0.7500 0.7500 0.7500  12 F 3.33
Gd1 0.5000 0.5000 0.5000  6 F 2.17
F1 0.2694 0.2694 0.7306  1 Gd 2.17
F2 0.2694 0.7306 0.2694  1 Gd 2.17
F3 0.2694 0.7306 0.7306  1 Gd 2.17
F4 0.7306 0.2694 0.2694  1 Gd 2.17
F5 0.7306 0.2694 0.7306  1 Gd 2.17
F6 0.7306 0.7306 0.2694  1 Gd 2.17

Values from the calculation:
total magnetization	0.00	Bohr magnetons per cell

***

Entry 5:
The following is a DFT calculation (PBE) of a relaxed Lu2Cd3W4C3 crystal.

a = 5.6464 Å, b = 5.6464 Å, c = 14.3762 Å
α = 101.64°, β = 101.64°, γ = 60.23°
Closest atoms and distances in Å follow each position.
Fractional coordinates of all 24 atoms:
Lu1 0.0376 0.8827 0.6097  3 C 2.41-2.48
Lu2 0.1173 0.9624 0.8903  3 C 2.41-2.48
Lu3 0.8827 0.0376 0.1097  3 C 2.41-2.48
Lu4 0.9624 0.1173 0.3903  3 C 2.41-2.48
Cd1 0.0854 0.3916 0.7521  4 Cd 2.82-2.85, 4 W 3.01
Cd2 0.3916 0.0854 0.2521  4 Cd 2.82-2.85, 4 W 3.01
Cd3 0.4437 0.5563 0.2500  4 Cd 2.82-2.85, 4 W 3.03
Cd4 0.5563 0.4437 0.7500  4 Cd 2.82-2.85, 4 W 3.03
Cd5 0.6084 0.9146 0.7479  4 Cd 2.82-2.85, 4 W 3.01
Cd6 0.9146 0.6084 0.2479  4 Cd 2.82-2.85, 4 W 3.01
W1 0.1914 0.3436 0.0686  3 C 2.08-2.17
W2 0.2976 0.4881 0.4312  3 C 2.08-2.18
W3 0.3436 0.1914 0.5686  3 C 2.08-2.17
W4 0.4881 0.2976 0.9312  3 C 2.08-2.18
W5 0.5119 0.7024 0.0688  3 C 2.08-2.18
W6 0.6564 0.8086 0.4314  3 C 2.08-2.17
W7 0.7024 0.5119 0.5688  3 C 2.08-2.18
W8 0.8086 0.6564 0.9314  3 C 2.08-2.17
C1 0.0000 0.5000 0.5000  4 W 2.08
C2 0.1666 0.6661 0.0000  4 W 2.08-2.18
C3 0.3339 0.8334 0.5000  4 W 2.08-2.18
C4 0.5000 0.0000 0.0000  4 W 2.08
C5 0.6661 0.1666 0.5000  4 W 2.08-2.18
C6 0.8334 0.3339 0.0000  4 W 2.08-2.18

Values from the calculation:
total magnetization	0.00	Bohr magnetons per cell

***

Entry 6:
The following is a DFT calculation (PBE) of a relaxed LuCuSiPd crystal.

a = 4.5704 Å, b = 4.5704 Å, c = 4.5704 Å
α = 60.00°, β = 60.00°, γ = 60.00°
Closest atoms and distances in Å follow each position.
Fractional coordinates of all 4 atoms:
Lu1 0.0000 0.0000 0.0000  4 Pd 2.80, 4 Si 2.80
Cu1 0.5000 0.5000 0.5000  4 Pd 2.80, 4 Si 2.80
Si1 0.2500 0.2500 0.2500  4 Cu 2.80, 4 Lu 2.80
Pd1 0.7500 0.7500 0.7500  4 Lu 2.80, 4 Cu 2.80

Values from the calculation:
E above lowest polymorph	0.144	eV per atom
total magnetization	0.00	Bohr magnetons per cell

***

Entry 7:
The following is a DFT calculation (PBE) of a relaxed Sr2NiP2Au crystal.

a = 4.1449 Å, b = 4.1449 Å, c = 8.8679 Å
α = 90.00°, β = 90.00°, γ = 120.00°
Closest atoms and distances in Å follow each position.
Fractional coordinates of all 6 atoms:
Sr1 0.0000 0.0000 0.2343  6 P 3.17-3.36, 3 Ni 3.17, 3 Au 3.36
Sr2 0.0000 0.0000 0.7657  6 P 3.17-3.36, 3 Ni 3.17, 3 Au 3.36
Ni1 0.3333 0.6667 0.0000  3 P 2.39
P1 0.3333 0.6667 0.5000  3 Au 2.39
P2 0.6667 0.3333 0.0000  3 Ni 2.39
Au1 0.6667 0.3333 0.5000  3 P 2.39

Values from the calculation:
total magnetization	0.01	Bohr magnetons per cell

***

Entry 8:
The following is a DFT calculation (PBE) of a relaxed K2LiZnBr6 crystal.

a = 7.4649 Å, b = 7.4649 Å, c = 7.4649 Å
α = 120.01°, β = 120.01°, γ = 89.98°
Closest atoms and distances in Å follow each position.
Fractional coordinates of all 10 atoms:
K1 0.2500 0.7500 0.5000  12 Br 3.71-3.76
K2 0.7500 0.2500 0.5000  12 Br 3.71-3.76
Li1 0.0000 0.0000 0.0000  6 Br 2.67
Zn1 0.5000 0.5000 0.0000  6 Br 2.61
Br1 0.2496 0.7435 0.9931  1 Zn 2.61, 1 Li 2.67
Br2 0.2530 0.2530 0.0000  1 Zn 2.61, 1 Li 2.67
Br3 0.2565 0.2496 0.5061  1 Zn 2.61, 1 Li 2.67
Br4 0.7435 0.7504 0.4939  1 Zn 2.61, 1 Li 2.67
Br5 0.7470 0.7470 0.0000  1 Zn 2.61, 1 Li 2.67
Br6 0.7504 0.2565 0.0069  1 Zn 2.61, 1 Li 2.67

***

Entry 9:
The following is a DFT calculation (PBE) of a relaxed Zr2AgAu crystal.

a = 3.2178 Å, b = 3.2178 Å, c = 7.9525 Å
α = 90.00°, β = 90.00°, γ = 90.00°
Closest atoms and distances in Å follow each position.
Fractional coordinates of all 4 atoms:
Zr1 0.0000 0.0000 0.0000  4 Ag 3.06, 8 Zr 3.13-3.22
Zr2 0.5000 0.5000 0.2704  4 Au 2.96, 8 Zr 3.13-3.22
Ag1 0.5000 0.5000 0.7433  4 Au 2.94, 4 Zr 3.06, 4 Ag 3.22
Au1 0.0000 0.0000 0.5094  4 Ag 2.94, 4 Zr 2.96, 4 Au 3.22

Values from the calculation:
total magnetization	0.01	Bohr magnetons per cell
formation energy from the elements	-248	meV/atom

***

Entry 10:
The following is a DFT calculation (PBE) of a relaxed NaHfTl crystal.

a = 4.8608 Å, b = 4.8608 Å, c = 4.8608 Å
α = 60.00°, β = 60.00°, γ = 60.00°
Closest atoms and distances in Å follow each position.
Fractional coordinates of all 3 atoms:
Na1 0.0000 0.0000 0.0000  4 Tl 2.98
Hf1 0.5000 0.5000 0.5000  4 Tl 2.98
Tl1 0.7500 0.7500 0.7500  4 Hf 2.98, 4 Na 2.98

Values from the calculation:
E above lowest polymorph	0.000	eV per atom
total magnetization	0.00	Bohr magnetons per cell

***

Entry 11:
The following is a DFT calculation (PBE) of a relaxed NbZnCuTc crystal.

a = 4.3846 Å, b = 4.3846 Å, c = 4.3846 Å
α = 60.00°, β = 60.00°, γ = 60.00°
Closest atoms and distances in Å follow each position.
Fractional coordinates of all 4 atoms:
Nb1 0.0000 0.0000 0.0000  4 Cu 2.68, 4 Tc 2.68
Zn1 0.5000 0.5000 0.5000  4 Tc 2.68, 4 Cu 2.68
Cu1 0.7500 0.7500 0.7500  4 Nb 2.68, 4 Zn 2.68
Tc1 0.2500 0.2500 0.2500  4 Nb 2.68, 4 Zn 2.68

Values from the calculation:
E above lowest polymorph	0.000	eV per atom
total magnetization	0.00	Bohr magnetons per cell
formation energy from the elements	91	meV/atom

***

Entry 12:
The following is a DFT calculation (PBE) of a relaxed Tl3PtCl6 crystal.

a = 7.4811 Å, b = 7.4811 Å, c = 7.4811 Å
α = 60.00°, β = 60.00°, γ = 60.00°
Closest atoms and distances in Å follow each position.
Fractional coordinates of all 10 atoms:
Tl1 0.0000 0.0000 0.0000  6 Cl 2.87
Tl2 0.2500 0.2500 0.2500  12 Cl 3.75
Tl3 0.7500 0.7500 0.7500  12 Cl 3.75
Pt1 0.5000 0.5000 0.5000  6 Cl 2.42
Cl1 0.2708 0.2708 0.7292  1 Pt 2.42
Cl2 0.2708 0.7292 0.2708  1 Pt 2.42
Cl3 0.2708 0.7292 0.7292  1 Pt 2.42
Cl4 0.7292 0.2708 0.2708  1 Pt 2.42
Cl5 0.7292 0.2708 0.7292  1 Pt 2.42
Cl6 0.7292 0.7292 0.2708  1 Pt 2.42

Values from the calculation:
total magnetization	0.76	Bohr magnetons per cell

***

Number 1: uncorrected energy -8.29 eV per cell. Number 2: uncorrected energy -47.16 eV per cell. Number 3: uncorrected energy -28.45 eV per cell. Number 4: uncorrected energy -51.16 eV per cell. Number 5: uncorrected energy -185.96 eV per cell. Number 6: uncorrected energy -20.42 eV per cell. Number 7: uncorrected energy -28.12 eV per cell. Number 8: uncorrected energy -26.89 eV per cell. Number 9: uncorrected energy -24.18 eV per cell. Number 10: uncorrected energy -11.80 eV per cell. Number 11: uncorrected energy -25.07 eV per cell. Number 12: uncorrected energy -31.43 eV per cell.